Entry 1:
Here is a relaxed RuWCl2 crystal from Alexandria via LeMat-Bulk. Energies are from PBE-GGA.

Calculated values
relative energy among the computed polymorphs: 0.000 eV per atom
uncorrected formation energy: -0.20 eV/atom

Structure (extended XYZ):
```
4
Lattice="3.5108 -0.0509 -0.0970 1.7974 3.0162 -0.0970 0.8064 0.4505 8.8899" Properties=species:S:1:pos:R:3 pbc="T T T"
Ru 3.3564 1.8750 4.6490
W 5.1636 2.8845 5.9180
Cl 5.2240 2.9183 8.1700
Cl 1.5428 0.8619 3.0026
```

***

Entry 2:
Here is a relaxed Na4NiSn3Se8 crystal from Alexandria via LeMat-Bulk. Energies are from PBE-GGA.

Calculated values
uncorrected formation energy: -0.62 eV/atom

Structure (extended XYZ):
```
16
Lattice="7.8387 0.0000 0.0000 0.0000 8.4353 0.2844 -3.9194 -4.0064 5.8838" Properties=species:S:1:pos:R:3 pbc="T T T"
Na 3.9194 0.0000 0.0000
Na 1.9597 -2.0032 2.9419
Na 0.0000 0.0000 0.0000
Na -1.9597 -2.0032 2.9419
Ni 0.0000 4.2177 0.1422
Sn 3.9194 4.2177 0.1422
Sn 1.9597 2.2145 3.0841
Sn -1.9597 2.2145 3.0841
Se -2.2683 1.9274 5.9319
Se 0.0000 4.1627 3.3952
Se 0.0000 0.1880 3.1045
Se 2.2683 1.9274 5.9319
Se 1.6511 2.5015 0.2362
Se 3.9194 4.2410 3.0636
Se 3.9194 0.2663 2.7729
Se 6.1876 2.5015 0.2362
```

***

Entry 3:
Here is a relaxed CaBe3Fe crystal from Alexandria via LeMat-Bulk. Energies are from PBE-GGA.

Calculated values
relative energy among the computed polymorphs: 2.424 eV per atom
E_form: 2.68 eV per atom

Structure (extended XYZ):
```
5
Lattice="4.6101 0.0000 0.0000 0.0000 4.6101 0.0000 0.0000 0.0000 4.6101" Properties=species:S:1:pos:R:3 pbc="T T T"
Be 0.0000 2.3050 0.0000
Be 0.0000 0.0000 2.3050
Be 2.3050 0.0000 0.0000
Ca 0.0000 0.0000 0.0000
Fe 2.3050 2.3050 2.3050
```

***

Entry 4:
Here is a relaxed RbMnPtBr6 crystal from Alexandria via LeMat-Bulk. Energies are from PBE-GGA.

Calculated values
uncorrected formation energy: -0.72 eV/atom

Structure (extended XYZ):
```
9
Lattice="-3.8432 1.6951 5.3447 0.5850 -3.7756 5.6220 5.8526 4.4558 2.5845" Properties=species:S:1:pos:R:3 pbc="T T T"
Rb 2.6092 2.3845 13.5017
Mn 1.8773 1.5578 4.8232
Pt 0.7562 0.8420 8.5969
Br -1.9378 1.5528 8.1958
Br 3.3103 0.0419 9.4685
Br 1.7656 2.7218 7.2981
Br 0.5607 2.3037 10.6303
Br 0.7803 -0.3780 6.4169
Br -0.0070 -1.2319 9.7904
```

***

Entry 5:
Here is a relaxed LaTm2Cu3 crystal from Alexandria via LeMat-Bulk. Energies are from PBE-GGA.

Calculated values
E_form: -0.24 eV per atom

Structure (extended XYZ):
```
6
Lattice="-1.6893 -0.1457 3.0247 -2.5893 -1.7265 -1.5293 4.8077 -9.1963 2.2421" Properties=species:S:1:pos:R:3 pbc="T T T"
La 0.2645 -5.5342 1.8687
Tm 1.9029 -8.6682 2.6328
Tm -1.3739 -2.4002 1.1046
Cu 0.0000 0.0000 0.0000
Cu 3.3321 -6.3738 1.5540
Cu 1.4755 -2.8225 0.6881
```

***

Entry 6:
Here is a relaxed IrRuPt2 crystal from Alexandria via LeMat-Bulk. Energies are from PBE-GGA.

Calculated values
relative energy among the computed polymorphs: 0.418 eV per atom
E_form: 0.37 eV per atom

Structure (extended XYZ):
```
4
Lattice="-0.6258 -4.1426 1.4649 1.3866 -1.1530 4.0555 -2.9564 -0.7946 3.2136" Properties=species:S:1:pos:R:3 pbc="T T T"
Ir -1.0978 -3.0451 4.3670
Pt 0.0000 0.0000 0.0000
Pt -0.5489 -1.5225 2.1835
Ru -1.6467 -4.5676 6.5505
```

***

Entry 7:
Here is a relaxed TbNd2Ni9 crystal from Alexandria via LeMat-Bulk. Energies are from PBE-GGA.

Calculated values
E_form: -0.34 eV per atom

Structure (extended XYZ):
```
12
Lattice="-4.8132 -0.6480 1.2021 -2.6272 -3.7021 -2.1033 -0.2622 -6.5177 5.8490" Properties=species:S:1:pos:R:3 pbc="T T T"
Tb 0.0000 0.0000 0.0000
Nd -6.5217 -6.4493 1.6460
Nd -1.1809 -4.4185 3.3018
Ni -5.2260 -9.4098 5.2385
Ni -2.4766 -1.4580 -0.2907
Ni -3.8513 -5.4339 2.4739
Ni -3.1916 -3.3916 1.0231
Ni -5.5923 -3.7148 1.6227
Ni -4.5020 -5.2381 -0.0259
Ni -4.5110 -7.4762 3.9247
Ni -3.2007 -5.6297 4.9737
Ni -2.1103 -7.1530 3.3251
```

***

Entry 8:
Here is a relaxed PtPb2 crystal from Alexandria via LeMat-Bulk. Energies are from PBE-GGA.

Calculated values
E_form: 0.03 eV per atom

Structure (extended XYZ):
```
3
Lattice="-3.0842 -1.3547 -3.3524 3.5464 -1.9921 -2.4577 -0.5350 -3.1103 1.7491" Properties=species:S:1:pos:R:3 pbc="T T T"
Pb 1.5057 -2.5512 -0.3543
Pb -1.8096 -2.2325 -0.8016
Pt 0.0000 0.0000 0.0000
```

***

Entry 9:
Here is a relaxed KPdPb4 crystal from Alexandria via LeMat-Bulk. Energies are from PBE-GGA.

Calculated values
relative energy among the computed polymorphs: 0.033 eV per atom
E_form: -0.17 eV per atom

Structure (extended XYZ):
```
12
Lattice="4.5512 0.0000 0.0000 0.0000 8.4984 0.0000 0.0000 0.0000 9.6349" Properties=species:S:1:pos:R:3 pbc="T T T"
K 0.0000 5.1631 7.2262
K 0.0000 3.3353 2.4087
Pd 0.0000 1.5931 7.2262
Pd 0.0000 6.9053 2.4087
Pb 0.0000 0.0000 4.8174
Pb 0.0000 0.0000 0.0000
Pb 2.2756 8.0418 7.2262
Pb 2.2756 0.4566 2.4087
Pb 2.2756 5.9326 0.7755
Pb 2.2756 2.5658 8.8594
Pb 2.2756 5.9326 4.0419
Pb 2.2756 2.5658 5.5930
```

***

Entry 10:
Here is a relaxed NaMg2H3S2O8 crystal from Alexandria via LeMat-Bulk. Energies are from PBE-GGA.

Calculated values
electronic total energy: -0.41156 Ry/atom

Structure (extended XYZ):
```
32
Lattice="6.3849 0.0555 0.0732 -3.1028 7.2369 -0.0830 -3.1145 -2.7678 7.9422" Properties=species:S:1:pos:R:3 pbc="T T T"
Na -0.0642 5.7867 0.6712
Na 0.2317 -1.2621 7.2612
Mg -1.5573 -1.3839 3.9711
Mg 1.6352 -1.3562 4.0077
Mg 0.1205 3.7670 6.4305
Mg 0.0471 0.7576 1.5019
H 0.1392 3.8362 3.9537
H 0.0283 0.6884 3.9787
H 0.8269 1.1925 5.8295
H -0.6594 3.3321 2.1029
H -0.7743 1.1597 5.8162
H 0.9418 3.3649 2.1162
S 3.3156 4.7065 1.2744
S -3.1480 -0.1819 6.6580
S 3.1560 1.0663 2.3916
S -2.9885 3.4583 5.5408
O 2.0781 4.7177 2.2031
O -1.9105 -0.1930 5.7293
O 1.9826 -0.1852 5.8123
O -1.8151 4.7098 2.1201
O 3.2945 6.1026 0.5954
O -3.1270 -1.5780 7.3370
O 3.2472 -0.3789 3.0135
O -3.0797 4.9035 4.9188
O -1.9236 3.6508 6.6458
O 2.0911 0.8738 1.2866
O -4.2551 3.3273 6.3830
O 4.4226 1.1973 1.5494
O 0.1154 4.6309 4.5262
O 0.0521 -0.1063 3.4062
O 0.0161 1.7572 5.7182
O 0.1514 2.7674 2.2142
```

***

Entry 11:
Here is a relaxed TbSmTlIn crystal from Alexandria via LeMat-Bulk. Energies are from PBE-GGA.

Calculated values
E_form: -0.42 eV per atom

Structure (extended XYZ):
```
4
Lattice="5.4028 0.0000 0.0000 2.7014 4.6790 0.0000 2.7014 1.5597 4.4114" Properties=species:S:1:pos:R:3 pbc="T T T"
Tl 0.0000 0.0000 0.0000
Tb 2.7014 1.5597 1.1028
Sm 8.1042 4.6790 3.3085
In 5.4028 3.1193 2.2057
```

***

Entry 12:
Here is a relaxed CrSbAu14 crystal from Alexandria via LeMat-Bulk. Energies are from PBE-GGA.

Calculated values
uncorrected formation energy: 0.04 eV/atom

Structure (extended XYZ):
```
16
Lattice="-1.7507 -2.7813 -5.0023 2.5368 -2.9765 4.5308 -8.6817 -1.5025 3.8738" Properties=species:S:1:pos:R:3 pbc="T T T"
Cr -1.9760 -3.7199 6.0855
Sb -4.1238 -3.6221 1.3098
Au 1.6396 -2.9356 2.5359
Au -0.5137 -2.8376 -2.2519
Au -3.2497 -2.2394 3.8052
Au 0.3664 -1.4400 0.2626
Au -2.8588 -5.1022 3.5708
Au 0.7614 -4.3333 0.0257
Au -6.8530 -2.5229 1.6076
Au -2.5052 -1.7705 -0.3324
Au -6.4546 -5.4413 1.3686
Au -2.1068 -4.6888 -0.5714
Au -5.6197 -4.0390 3.9076
Au -1.1818 -3.2710 1.9273
Au -7.6986 -3.9262 -0.9367
Au -3.4269 -3.1870 -2.8427
```

***

Entry 13:
Here is a relaxed LaHg3Pd crystal from Alexandria via LeMat-Bulk. Energies are from PBE-GGA.

Calculated values
relative energy among the computed polymorphs: 0.000 eV per atom
E_form: -0.45 eV per atom

Structure (extended XYZ):
```
20
Lattice="-1.0267 -1.0766 4.8092 9.6730 -4.8511 0.9791 3.6017 7.6840 2.4892" Properties=species:S:1:pos:R:3 pbc="T T T"
La 9.9288 2.7083 6.6781
La 8.4943 -0.5216 3.0141
La 3.7536 2.2779 5.2634
La 2.3191 -0.9521 1.5993
Hg 5.6128 -2.5012 1.9557
Hg 6.6351 4.2574 6.3217
Hg 2.0370 2.6141 2.3375
Hg 10.2109 -0.8578 5.9400
Hg 6.3148 3.3763 3.4214
Hg 0.9626 0.5196 4.2739
Hg 11.2853 1.2366 4.0036
Hg 7.1221 1.0767 5.7136
Hg 5.1258 0.6796 2.5638
Hg 3.2538 5.5678 5.8932
Hg 5.9331 -1.6201 4.8561
Hg 8.9941 -3.8115 2.3843
Pd 3.8888 4.6352 3.1853
Pd 8.8272 2.4271 3.7453
Pd 3.4207 -0.6709 4.5322
Pd 8.3591 -2.8790 5.0922
```

***

Entry 14:
Here is a relaxed KAuSe crystal from Alexandria via LeMat-Bulk. Energies are from PBE-GGA.

Calculated values
uncorrected formation energy: -0.69 eV/atom

Structure (extended XYZ):
```
3
Lattice="-2.7453 3.3657 1.2161 -1.6692 -3.6234 -2.1044 -0.7390 -2.1554 4.2973" Properties=species:S:1:pos:R:3 pbc="T T T"
K -2.6329 0.3177 1.5414
Au -0.6156 -1.7956 3.5799
Se -2.6439 -3.0905 2.5849
```

***

Entry 15:
Here is a relaxed YZr2Ir9 crystal from Alexandria via LeMat-Bulk. Energies are from PBE-GGA.

Calculated values
E_form: -0.54 eV per atom

Structure (extended XYZ):
```
12
Lattice="5.0296 0.0000 1.4969 2.2920 4.4770 1.4969 0.0010 0.0006 9.1949" Properties=species:S:1:pos:R:3 pbc="T T T"
Y 0.0000 0.0000 0.0000
Zr 6.3060 3.8559 6.4063
Zr 1.0166 0.6216 5.7824
Ir 4.8769 2.9821 2.0099
Ir 2.4457 1.4955 10.1787
Ir 3.6613 2.2388 6.0943
Ir 3.0368 1.8569 3.5613
Ir 5.5692 1.8569 4.3150
Ir 4.1909 4.1111 4.3150
Ir 4.2858 2.6206 8.6274
Ir 3.1317 0.3665 7.8737
Ir 1.7534 2.6206 7.8737
```

***

Entry 16:
Here is a relaxed TlCd2Pt crystal from Alexandria via LeMat-Bulk. Energies are from PBE-GGA.

Calculated values
relative energy among the computed polymorphs: 0.177 eV per atom
E_form: 0.02 eV per atom

Structure (extended XYZ):
```
4
Lattice="-4.3188 -0.2123 -0.8376 0.8397 -0.0127 -4.3263 0.1996 -4.2618 0.0512" Properties=species:S:1:pos:R:3 pbc="T T T"
Tl 0.5196 -2.1372 -2.1376
Pt -2.0596 -2.2371 -0.3932
Cd 0.0000 0.0000 0.0000
Cd -1.7395 -0.1125 -2.5820
```

***

Entry 17:
Here is a relaxed Dy8CdRu2 crystal from Alexandria via LeMat-Bulk. Energies are from PBE-GGA.

Calculated values
E_form: -0.20 eV per atom

Structure (extended XYZ):
```
11
Lattice="5.4903 -0.0417 -0.0626 -0.9647 7.7879 -0.0797 -0.9647 -3.0730 7.1565" Properties=species:S:1:pos:R:3 pbc="T T T"
Dy 3.5054 5.1766 4.6682
Dy 3.5054 2.3144 6.5752
Dy 0.4607 2.8888 4.3358
Dy 1.7805 5.0673 1.6878
Dy 1.7805 -0.3941 5.3264
Dy 3.1003 1.7844 2.6783
Dy 0.0557 2.3588 0.4390
Dy 0.0557 -0.5033 2.3459
Cd 2.7452 -0.0209 -0.0313
Ru -0.9647 0.3142 4.8997
Ru -0.9647 4.4007 2.1770
```

***

Entry 18:
Here is a relaxed LaPr2YTh crystal from Alexandria via LeMat-Bulk. Energies are from PBE-GGA.

Calculated values
E_form: 0.29 eV per atom

Structure (extended XYZ):
```
10
Lattice="6.3587 0.0000 0.0000 0.0000 8.5847 1.5501 0.0000 -1.1534 6.3813" Properties=species:S:1:pos:R:3 pbc="T T T"
La 3.4244 -0.2884 1.5953
La 2.9343 -0.8651 4.7860
Pr 4.5280 5.0431 5.8530
Pr 4.5280 1.8115 5.2691
Pr 1.8307 5.6198 2.6623
Pr 1.8307 2.3882 2.0784
Y 1.2116 3.4273 5.5610
Y 5.1471 4.0040 2.3704
Th 0.0000 0.0000 0.0000
Th 0.0000 -0.5767 3.1907
```

***

Entry 19:
Here is a relaxed TlMo3Br crystal from Alexandria via LeMat-Bulk. Energies are from PBE-GGA.

Calculated values
relative energy among the computed polymorphs: 0.000 eV per atom
uncorrected formation energy: 1.52 eV/atom

Structure (extended XYZ):
```
5
Lattice="-3.6524 -2.5195 -1.3930 2.8191 -3.5865 -0.9047 -0.5842 -1.5549 4.3440" Properties=species:S:1:pos:R:3 pbc="T T T"
Tl -0.7088 -3.8305 1.0231
Mo 1.4095 -1.7933 -0.4523
Mo -0.2921 -0.7774 2.1720
Mo -1.8262 -1.2598 -0.6965
Br 0.0000 0.0000 0.0000
```

***

Entry 20:
Here is a relaxed CaGa4AgPt2 crystal from Alexandria via LeMat-Bulk. Energies are from PBE-GGA.

Calculated values
E_form: -0.49 eV per atom

Structure (extended XYZ):
```
8
Lattice="4.3185 0.0000 0.0000 2.1592 3.7399 0.0000 2.1592 1.2466 9.2152" Properties=species:S:1:pos:R:3 pbc="T T T"
Ca 0.0000 0.0000 0.0000
Ga 4.3185 2.4933 7.4014
Ga 6.4777 3.7399 3.3583
Ga 2.1592 1.2466 5.8569
Ga 4.3185 2.4933 1.8138
Ag 4.3185 2.4933 4.6076
Pt 6.4777 3.7399 6.7729
Pt 2.1592 1.2466 2.4424
```

***

Entry 21:
Here is a relaxed BaCu3Os crystal from Alexandria via LeMat-Bulk. Energies are from PBE-GGA.

Calculated values
relative energy among the computed polymorphs: 1.955 eV per atom
E_form: 2.51 eV per atom

Structure (extended XYZ):
```
5
Lattice="-4.8448 1.4336 -0.7977 -1.0663 -0.8613 4.9280 1.2468 4.8339 1.1147" Properties=species:S:1:pos:R:3 pbc="T T T"
Os -2.3321 2.7031 2.6224
Ba 0.0000 0.0000 0.0000
Cu -0.5331 -0.4307 2.4640
Cu 0.6234 2.4169 0.5573
Cu -2.4224 0.7168 -0.3989
```

***

Entry 22:
Here is a relaxed DySbPd2 crystal from Alexandria via LeMat-Bulk. Energies are from PBE-GGA.

Calculated values
uncorrected formation energy: -0.77 eV/atom

Structure (extended XYZ):
```
4
Lattice="-1.2850 2.8151 -2.6653 -0.9351 -3.1947 -2.9234 -4.0999 -0.3096 1.6498" Properties=species:S:1:pos:R:3 pbc="T T T"
Sb -0.6425 1.4076 -1.3327
Pd -2.0500 -0.1548 0.8249
Pd -0.4676 -1.5974 -1.4617
Dy -3.1600 -0.3446 -1.9695
```

***

Entry 23:
Here is a relaxed LiTm3Ag2 crystal from Alexandria via LeMat-Bulk. Energies are from PBE-GGA.

Calculated values
E_form: -0.20 eV per atom

Structure (extended XYZ):
```
6
Lattice="3.6133 0.0000 0.0000 0.0000 4.8065 -1.5912 0.0000 -0.0055 8.0383" Properties=species:S:1:pos:R:3 pbc="T T T"
Li 0.0000 0.0000 0.0000
Tm 1.8066 2.4033 -0.7956
Tm 1.8066 3.9849 3.9819
Tm 1.8066 0.8161 2.4652
Ag 0.0000 1.6305 4.9251
Ag 3.6133 3.1705 1.5221
```

***

In the order shown, the computed total moment values come out to 0.0; 0.0; 0.0; 6.0; 0.0; 2.1; 1.0; 0.0; 0.0; 0.0; 0.0; 3.8; 0.0; 0.0; 0.0; 0.0; 0.0; 0.0; 0.0; 0.0; 2.6; 0.0; 0.0 μB/f.u..